(1)
## Mg2Tl2Cu (PBE-GGA)

Data for an optimized crystal structure of Mg2Tl2Cu.

Values from the calculation:
**V**: 26.5 A^3/atom
**Total DFT energy (no corrections)**: -1.978 eV per atom
**Crystal system**: tetragonal
**Relative energy among the computed polymorphs**: 288 meV/atom
**Energy of formation from the pure elements**: 0.426 eV per atom

Cell lengths 8.061, 8.061, 8.061 Å; angles 149.74, 149.74, 43.32 degrees
Atoms (fractional coordinates):
1 Mg 0.092 0.092 0.000
2 Mg 0.908 0.908 0.000
3 Tl 0.250 0.750 0.500
4 Tl 0.750 0.250 0.500
5 Cu 0.500 0.500 0.000

(2)
## KZr2P (PBE-GGA)

Data for an optimized crystal structure of KZr2P.

Values from the calculation:
**V**: 27.3 A^3/atom
**Total DFT energy (no corrections)**: -6.249 eV per atom
**Crystal system**: tetragonal
**Energy of formation from the pure elements**: -0.348 eV per atom

Cell lengths 3.518, 3.518, 8.833 Å; angles 90.00, 90.00, 90.00 degrees
Atoms (fractional coordinates):
1 K 0.000 0.000 0.000
2 Zr 0.000 0.000 0.390
3 Zr 0.500 0.500 0.604
4 P 0.500 0.500 0.286

(3)
## NaLiCa2Tl (PBE-GGA)

Data for an optimized crystal structure of NaLiCa2Tl.

Values from the calculation:
**V**: 39.1 A^3/atom
**Total DFT energy (no corrections)**: -1.900 eV per atom
**Crystal system**: tetragonal
**Energy of formation from the pure elements**: 0.020 eV per atom

Cell lengths 6.065, 6.065, 5.322 Å; angles 90.00, 90.00, 90.00 degrees
Atoms (fractional coordinates):
1 Na 0.000 0.000 0.000
2 Li 0.500 0.500 0.000
3 Ca 0.000 0.500 0.500
4 Ca 0.500 0.000 0.500
5 Tl 0.500 0.500 0.500

(4)
## Y5Ge6 (PBE-GGA)

Data for an optimized crystal structure of Y5Ge6.

Values from the calculation:
**V**: 22.6 A^3/atom
**Total DFT energy (no corrections)**: -6.251 eV per atom
**Crystal system**: orthorhombic
**Energy of formation from the pure elements**: -0.794 eV per atom

Cell lengths 14.756, 14.756, 4.258 Å; angles 90.00, 90.00, 164.43 degrees
Atoms (fractional coordinates):
1 Y 0.000 0.000 0.000
2 Y 0.200 0.800 0.500
3 Y 0.385 0.615 0.000
4 Y 0.615 0.385 0.000
5 Y 0.800 0.200 0.500
6 Ge 0.101 0.899 0.500
7 Ge 0.281 0.719 0.000
8 Ge 0.458 0.542 0.500
9 Ge 0.542 0.458 0.500
10 Ge 0.719 0.281 0.000
11 Ge 0.899 0.101 0.500

(5)
## Na3Sc3TeSe8 (PBE-GGA)

Data for an optimized crystal structure of Na3Sc3TeSe8.

Values from the calculation:
**V**: 25.3 A^3/atom
**Total DFT energy (no corrections)**: -4.873 eV per atom
**Raw formation energy**: -1.275 eV per atom
**Crystal system**: trigonal

Cell lengths 8.364, 8.364, 8.364 Å; angles 56.45, 56.45, 56.45 degrees
Atoms (fractional coordinates):
1 Na 0.000 0.500 0.500
2 Na 0.500 0.000 0.500
3 Na 0.500 0.500 0.000
4 Sc 0.000 0.000 0.500
5 Sc 0.000 0.500 0.000
6 Sc 0.500 0.000 0.000
7 Te 0.500 0.500 0.500
8 Se 0.232 0.745 0.745
9 Se 0.239 0.239 0.239
10 Se 0.255 0.255 0.768
11 Se 0.255 0.768 0.255
12 Se 0.745 0.232 0.745
13 Se 0.745 0.745 0.232
14 Se 0.761 0.761 0.761
15 Se 0.768 0.255 0.255

(6)
## YHoHgPd (PBE-GGA)

Data for an optimized crystal structure of YHoHgPd.

Values from the calculation:
**V**: 23.6 A^3/atom
**Total DFT energy (no corrections)**: -4.790 eV per atom
**Crystal system**: cubic
**Relative energy among the computed polymorphs**: 36 meV/atom
**Energy of formation from the pure elements**: -0.656 eV per atom

Cell lengths 5.109, 5.109, 5.109 Å; angles 60.00, 60.00, 60.00 degrees
Atoms (fractional coordinates):
1 Y 0.000 0.000 0.000
2 Ho 0.500 0.500 0.500
3 Hg 0.250 0.250 0.250
4 Pd 0.750 0.750 0.750